An optimized crystal structure of BaV2GaO8, computed with PBE with a Hubbard U.

Structure (POSCAR):
```
BaV2GaO8
1.0
5.577 0.000 0.000
-2.788 4.830 0.000
0.000 0.000 7.283
Ba V Ga O
1 2 1 8
Cartesian
0.000 0.000 0.000
2.788 1.610 1.920
0.000 3.220 5.363
0.000 0.000 3.642
0.000 3.220 7.061
1.330 0.788 2.426
4.229 0.758 2.426
2.788 1.610 0.222
-1.441 4.072 4.857
1.458 4.041 4.857
-0.017 1.546 4.857
2.806 3.284 2.426
```

Calculated values
Electronic total energy = -83.052 eV for the cell shown
Magnetization = 0.085 μB per atom
D(E_F) = 7.59 states/eV per cell